DFT (GGA-PBE) results for crystalline InHg2Au at its relaxed geometry.

```
InHg2Au
1.0
4.0944 0.0000 0.0000
0.0000 5.0078 0.0000
-0.6563 0.0000 4.8305
In Hg Au
1 2 1
direct
0.0000 0.0000 0.0000
0.2734 0.5000 0.7356
0.7266 0.5000 0.2644
0.5000 0.0000 0.5000
```

---

DFT (GGA-PBE) results for crystalline In2HgAu at its relaxed geometry.

```
In2HgAu
1.0
3.4568 0.0000 0.0000
0.0000 3.4568 0.0000
0.0000 0.0000 8.1435
In Hg Au
2 1 1
direct
0.0000 0.0000 0.2195
0.0000 0.0000 0.7805
0.5000 0.5000 0.5000
0.5000 0.5000 0.0000
```

---

DFT (GGA-PBE) results for crystalline In2HgAu at its relaxed geometry.

```
In2HgAu
1.0
3.4679 0.0000 0.0000
0.0000 4.0022 0.0000
0.0000 0.0000 6.9691
In Hg Au
2 1 1
direct
0.0000 0.0000 0.0000
0.5000 0.5000 0.2971
0.5000 0.5000 0.7458
0.0000 0.0000 0.4926
```

---

DFT (GGA-PBE) results for crystalline In6Hg5Au at its relaxed geometry.

```
In6Hg5Au
1.0
4.5314 -5.9778 0.0000
4.5314 5.9778 0.0000
-1.8623 0.0000 5.8332
In Hg Au
6 5 1
direct
0.0709 0.3886 0.7253
0.2176 0.2176 0.2324
0.3886 0.0709 0.7253
0.6114 0.9291 0.2747
0.7824 0.7824 0.7676
0.9291 0.6114 0.2747
0.1927 0.8073 0.0000
0.3508 0.6492 0.5000
0.5000 0.5000 0.0000
0.6492 0.3508 0.5000
0.8073 0.1927 0.0000
0.0000 0.0000 0.5000
```

---

InHgAu3 GGA-PBE optimized geometry; polymorph energy (0 for the lowest one) = 0.4926 eV/atom
1.0
5.2595 0.0000 0.0000
0.0000 5.2595 0.0000
0.0000 0.0000 5.2595
In Hg Au
1 1 3
direct
0.0000 0.0000 0.0000
0.5000 0.5000 0.5000
0.0000 0.0000 0.5000
0.0000 0.5000 0.0000
0.5000 0.0000 0.0000

---

DFT (GGA-PBE) results for crystalline InHgAu2 at its relaxed geometry.

```
InHgAu2
1.0
5.1458 0.0000 0.0000
0.0000 4.9026 0.0000
-0.9863 0.0000 7.0382
In Hg Au
2 2 4
direct
0.1015 0.2500 0.3510
0.8985 0.7500 0.6490
0.3233 0.7500 0.9963
0.6767 0.2500 0.0037
0.1470 0.2500 0.7867
0.3825 0.7500 0.4260
0.6175 0.2500 0.5740
0.8530 0.7500 0.2133
```

---

DFT (GGA-PBE) results for crystalline In4HgAu6 at its relaxed geometry.

```
In4HgAu6
1.0
7.9072 0.0000 0.0000
-3.9536 6.8478 0.0000
0.0000 0.0000 4.5948
In Hg Au
4 1 6
direct
0.0000 0.0000 0.0000
0.4384 0.4061 0.5000
0.5939 0.0323 0.5000
0.9677 0.5616 0.5000
0.3333 0.6667 0.0000
0.0354 0.2396 0.5000
0.2043 0.9646 0.5000
0.4369 0.1488 0.0000
0.7119 0.5631 0.0000
0.7604 0.7957 0.5000
0.8512 0.2881 0.0000
```

---

DFT (GGA-PBE) results for crystalline In2HgAu at its relaxed geometry.

```
In2HgAu
1.0
8.2573 0.0000 0.0000
0.0000 4.0119 0.0000
-2.0159 0.0000 6.1707
In Hg Au
4 2 2
direct
0.2399 0.0000 0.2155
0.2601 0.5000 0.7845
0.7399 0.5000 0.2155
0.7601 0.0000 0.7845
0.0000 0.0000 0.5000
0.5000 0.5000 0.5000
0.0000 0.5000 0.0000
0.5000 0.0000 0.0000
```

---

DFT (GGA-PBE) results for crystalline InHg2Au at its relaxed geometry.

```
InHg2Au
1.0
4.2272 0.0000 0.0000
0.0000 4.0376 0.0000
-0.4803 0.0000 11.5746
In Hg Au
2 4 2
direct
0.2466 0.2500 0.4020
0.7534 0.7500 0.5980
0.1367 0.7500 0.8313
0.3431 0.7500 0.0949
0.6569 0.2500 0.9051
0.8633 0.2500 0.1687
0.2752 0.2500 0.6453
0.7248 0.7500 0.3547
```

---

DFT (GGA-PBE) results for crystalline In2HgAu at its relaxed geometry.

```
In2HgAu
1.0
4.8985 0.0000 0.0000
0.0000 4.8985 0.0000
0.0000 0.0000 3.9736
In Hg Au
2 1 1
direct
0.0000 0.5000 0.0000
0.5000 0.0000 0.0000
0.0000 0.0000 0.5000
0.5000 0.5000 0.5000
```

---

DFT (GGA-PBE) results for crystalline InHg2Au at its relaxed geometry.

```
InHg2Au
1.0
13.3044 0.0000 0.0000
0.0000 3.6573 0.0000
-0.4798 0.0000 4.3403
In Hg Au
2 4 2
direct
0.0000 0.0000 0.0000
0.5000 0.5000 0.0000
0.2084 0.5000 0.7405
0.2916 0.0000 0.2595
0.7084 0.0000 0.7405
0.7916 0.5000 0.2595
0.0000 0.5000 0.5000
0.5000 0.0000 0.5000
```

---

DFT (GGA-PBE) results for crystalline In12Hg6Au at its relaxed geometry.

```
In12Hg6Au
1.0
5.9996 3.4639 4.1815
-5.9996 3.4639 4.1815
0.0000 -6.9277 4.1815
In Hg Au
12 6 1
direct
0.0083 0.6939 0.9188
0.0812 0.9917 0.3061
0.1603 0.5274 0.4030
0.3061 0.0812 0.9917
0.4030 0.1603 0.5274
0.4726 0.5970 0.8397
0.5274 0.4030 0.1603
0.5970 0.8397 0.4726
0.6939 0.9188 0.0083
0.8397 0.4726 0.5970
0.9188 0.0083 0.6939
0.9917 0.3061 0.0812
0.1611 0.3393 0.7528
0.2472 0.8389 0.6607
0.3393 0.7528 0.1611
0.6607 0.2472 0.8389
0.7528 0.1611 0.3393
0.8389 0.6607 0.2472
0.5000 0.5000 0.5000
```

---

E_tot list, top to bottom, in eV/atom: -1.652 -2.334 -2.280 -1.797 -2.113 -2.450 -2.926 -2.352 -1.708 -2.291 -1.680 -1.976
DFT formation energy list, top to bottom, in meV/atom: 3 -70 -16 -29 462 -51 -115 -88 -53 -27 -25 21
Total magnetic moment list, top to bottom, in μB per formula unit: 0.00 0.00 0.00 0.00 0.00 0.00 0.00 0.00 0.00 0.00 0.00 0.00